Record 1
Computed, not measured: a geometry-optimized LaNdSi2Pd5 structure at the PBE-GGA level of DFT.

Output
- crystal system = tetragonal
- E_tot (eV per atom) = -6.0533
- space-group type = P4/mmm (123)
- density (g/cm3) = 8.71
- ΔE_f (raw) (eV per atom) = -0.8861

Unit cell a=4.281 b=4.281 c=9.066 alpha=90.00 beta=90.00 gamma=90.00
Element x y z (fractional)
Si  0.500  0.500  0.133
Si  0.500  0.500  0.867
Pd  0.000  0.500  0.265
Pd  0.500  0.000  0.265
Pd  0.500  0.500  0.500
Pd  0.000  0.500  0.735
Pd  0.500  0.000  0.735
La  0.000  0.000  0.500
Nd  0.000  0.000  0.000

---

Record 2
Computed, not measured: a geometry-optimized In3SeF structure at the PBE-GGA level of DFT.

Output
- crystal system = cubic
- offset from the most stable computed form (eV/atom) = 0.000
- E_tot (eV per atom) = -3.3270
- space-group type = Pm-3m (221)
- density (g/cm3) = 5.42
- ΔE_f (raw) (eV per atom) = -0.6128

Unit cell a=5.138 b=5.138 c=5.138 alpha=90.00 beta=90.00 gamma=90.00
Element x y z (fractional)
In  0.500  0.000  0.000
In  0.000  0.500  0.000
In  0.000  0.000  0.500
Se  0.500  0.500  0.500
F  0.000  0.000  0.000

---

Record 3
Computed, not measured: a geometry-optimized DyB2Pt7Pb2 structure at the PBE-GGA level of DFT.

Output
- crystal system = monoclinic
- E_tot (eV per atom) = -6.1262
- space-group type = C2/m (12)
- density (g/cm3) = 15.14

Unit cell a=4.031 b=4.031 c=14.133 alpha=75.80 beta=75.80 gamma=89.99
Element x y z (fractional)
Pb  0.829  0.829  0.412
Pb  0.171  0.171  0.588
B  0.312  0.312  0.222
B  0.688  0.688  0.778
Pt  0.868  0.367  0.164
Pt  0.500  0.500  0.000
Pt  0.633  0.132  0.836
Pt  0.371  0.371  0.359
Pt  0.367  0.868  0.164
Pt  0.132  0.633  0.836
Pt  0.629  0.629  0.641
Dy  0.000  0.000  0.000

---

Record 4
Computed, not measured: a geometry-optimized ErPH2Ru structure at the PBE-GGA level of DFT.

Output
- crystal system = orthorhombic
- E_tot (eV per atom) = -5.8958
- space-group type = Cmcm (63)
- density (g/cm3) = 8.91

Unit cell a=3.803 b=5.289 c=5.985 alpha=90.00 beta=90.00 gamma=111.07
Element x y z (fractional)
H  0.172  0.343  0.563
H  0.828  0.657  0.437
H  0.828  0.657  0.063
H  0.172  0.343  0.937
Er  0.715  0.430  0.750
Er  0.285  0.570  0.250
P  0.432  0.864  0.750
P  0.568  0.136  0.250
Ru  0.000  0.000  0.500
Ru  0.000  0.000  0.000

---

Record 5
Computed, not measured: a geometry-optimized LiEr2TlTe4 structure at the PBE-GGA level of DFT.

Output
- crystal system = orthorhombic
- E_tot (eV per atom) = -4.3646
- space-group type = Cmcm (63)
- density (g/cm3) = 6.89
- ΔE_f (raw) (eV per atom) = -1.1180

Unit cell a=4.417 b=7.707 c=15.619 alpha=90.00 beta=90.00 gamma=106.65
Element x y z (fractional)
Tl  0.113  0.227  0.750
Tl  0.887  0.773  0.250
Te  0.000  0.000  0.000
Te  0.000  0.000  0.500
Te  0.731  0.462  0.608
Te  0.438  0.877  0.750
Te  0.269  0.538  0.392
Te  0.269  0.538  0.108
Te  0.562  0.123  0.250
Te  0.731  0.462  0.892
Er  0.633  0.266  0.065
Er  0.367  0.734  0.565
Er  0.367  0.734  0.935
Er  0.633  0.266  0.435
Li  0.835  0.669  0.750
Li  0.165  0.331  0.250

---

Record 6
Computed, not measured: a geometry-optimized SmErTmLu structure at the PBE-GGA level of DFT.

Output
- crystal system = cubic
- E_tot (eV per atom) = -4.4510
- space-group type = F-43m (216)
- density (g/cm3) = 8.79

Unit cell a=5.612 b=5.612 c=5.612 alpha=60.00 beta=60.00 gamma=60.00
Element x y z (fractional)
Sm  0.250  0.250  0.250
Lu  0.000  0.000  0.000
Tm  0.500  0.500  0.500
Er  0.750  0.750  0.750